[1]
Density functional theory data (PBE-GGA) for a relaxed structure of CrNiP.

Cell lengths 3.5304, 5.8495, 6.8249 Å; angles 90.00, 90.00, 90.00 degrees
Element x y z (fractional)
Cr (0.7500, 0.9678, 0.3290)
Cr (0.2500, 0.0322, 0.6710)
Cr (0.7500, 0.4678, 0.1710)
Cr (0.2500, 0.5322, 0.8290)
Ni (0.2500, 0.1402, 0.0612)
Ni (0.2500, 0.6402, 0.4388)
Ni (0.7500, 0.8598, 0.9388)
Ni (0.7500, 0.3598, 0.5612)
P (0.7500, 0.2446, 0.8728)
P (0.7500, 0.7446, 0.6272)
P (0.2500, 0.2554, 0.3728)
P (0.2500, 0.7554, 0.1272)

Computed properties:
For the density of states at the Fermi level, the calculation gives 0.7154 states/eV per atom. The space group is Pnma. The calculation puts the formation energy at -0.5247 eV per atom.


[2]
Density functional theory data (PBE-GGA) for a relaxed structure of Cr2NiP.

Cell lengths 2.7337, 3.6037, 4.6362 Å; angles 90.00, 90.00, 90.00 degrees
Element x y z (fractional)
Ni (0.5000, 0.5000, 0.2500)
Cr (0.0000, 0.0000, 0.5239)
Cr (0.0000, 0.0000, 0.9761)
P (0.5000, 0.5000, 0.7500)

Computed properties:
For the density of states at the Fermi level, the calculation gives 1.1574 states/eV per atom. The space group is Pmmm. The calculation puts the formation energy at -0.0596 eV per atom.


[3]
Density functional theory data (PBE-GGA) for a relaxed structure of CrNiP4.

Cell lengths 4.9428, 4.9428, 4.9428 Å; angles 60.00, 60.00, 60.00 degrees
Element x y z (fractional)
P (0.3727, 0.3727, 0.8819)
P (0.3727, 0.3727, 0.3727)
P (0.3727, 0.8819, 0.3727)
P (0.8819, 0.3727, 0.3727)
Ni (0.0000, 0.0000, 0.0000)
Cr (0.7500, 0.7500, 0.7500)

Computed properties:
For the density of states at the Fermi level, the calculation gives 0.7627 states/eV per atom. The space group is F-43m. The calculation puts the formation energy at 0.6599 eV per atom.


[4]
Density functional theory data (PBE-GGA) for a relaxed structure of CrNi2P.

Cell lengths 3.5325, 2.6774, 4.9706 Å; angles 74.35, 90.00, 90.00 degrees
Element x y z (fractional)
Ni (0.0000, 0.0611, 0.0033)
Ni (0.5000, 0.4378, 0.2502)
Cr (0.5000, 0.7022, 0.7202)
P (0.0000, 0.2989, 0.5263)

Computed properties:
For the density of states at the Fermi level, the calculation gives 1.0003 states/eV per atom. The space group is Amm2. The calculation puts the formation energy at -0.2231 eV per atom.


[5]
Density functional theory data (PBE-GGA) for a relaxed structure of Cr2NiP.

Cell lengths 4.0088, 4.0088, 4.0088 Å; angles 60.00, 60.00, 60.00 degrees
Element x y z (fractional)
P (0.2500, 0.2500, 0.2500)
Cr (0.7500, 0.7500, 0.7500)
Cr (0.0000, 0.0000, 0.0000)
Ni (0.5000, 0.5000, 0.5000)

Computed properties:
For the density of states at the Fermi level, the calculation gives 0.8704 states/eV per atom. The space group is F-43m. The calculation puts the formation energy at -0.0445 eV per atom.


[6]
Density functional theory data (PBE-GGA) for a relaxed structure of CrNi2P.

Cell lengths 3.1098, 3.1098, 4.8579 Å; angles 90.00, 90.00, 90.00 degrees
Element x y z (fractional)
Ni (0.0000, 0.0000, 0.0016)
Ni (0.0000, 0.0000, 0.4984)
P (0.5000, 0.5000, 0.2500)
Cr (0.5000, 0.5000, 0.7500)

Computed properties:
For the density of states at the Fermi level, the calculation gives 1.0888 states/eV per atom. The space group is P4/mmm. The calculation puts the formation energy at -0.0505 eV per atom.


[7]
Density functional theory data (PBE-GGA) for a relaxed structure of CrNi2P.

Cell lengths 3.4722, 3.4722, 8.5984 Å; angles 78.35, 78.35, 90.00 degrees
Element x y z (fractional)
Ni (0.6100, 0.1250, 0.2500)
Ni (0.3750, 0.3900, 0.7500)
Ni (0.8750, 0.8600, 0.7500)
Ni (0.1400, 0.6250, 0.2500)
Cr (0.0000, 0.0000, 0.0000)
Cr (0.7500, 0.2500, 0.5000)
P (0.2500, 0.7500, 0.5000)
P (0.5000, 0.5000, 0.0000)

Computed properties:
For the density of states at the Fermi level, the calculation gives 0.9914 states/eV per atom. The space group is I-42d. The calculation puts the formation energy at 0.0433 eV per atom.


[8]
Density functional theory data (PBE-GGA) for a relaxed structure of Cr2NiP.

Cell lengths 8.0208, 8.0208, 8.0208 Å; angles 18.61, 18.61, 18.61 degrees
Element x y z (fractional)
Cr (0.4968, 0.4968, 0.4968)
Cr (0.0032, 0.0032, 0.0032)
Ni (0.2500, 0.2500, 0.2500)
P (0.7500, 0.7500, 0.7500)

Computed properties:
For the density of states at the Fermi level, the calculation gives 1.6548 states/eV per atom. The space group is R-3m. The calculation puts the formation energy at 0.1024 eV per atom.


Copy entry 3 word for word.
Density functional theory data (PBE-GGA) for a relaxed structure of CrNiP4.

Cell lengths 4.9428, 4.9428, 4.9428 Å; angles 60.00, 60.00, 60.00 degrees
Element x y z (fractional)
P (0.3727, 0.3727, 0.8819)
P (0.3727, 0.3727, 0.3727)
P (0.3727, 0.8819, 0.3727)
P (0.8819, 0.3727, 0.3727)
Ni (0.0000, 0.0000, 0.0000)
Cr (0.7500, 0.7500, 0.7500)

Computed properties:
For the density of states at the Fermi level, the calculation gives 0.7627 states/eV per atom. The space group is F-43m. The calculation puts the formation energy at 0.6599 eV per atom.